Entry 1:
Material: Sr2BeBiRh
Method: DFT, PBE-GGA
State: relaxed

```
data_Sr2BeBiRh
_chemical_formula_sum 'Sr2 Be1 Bi1 Rh1'
_cell_length_a 5.779
_cell_length_b 5.779
_cell_length_c 5.102
_cell_angle_alpha 90.00
_cell_angle_beta 90.00
_cell_angle_gamma 90.00
_symmetry_space_group_name_H-M 'P 4/m m m'
_symmetry_Int_Tables_number 123
_symmetry_space_group_name_Hall '-P 4 2'
loop_
_atom_site_label
_atom_site_fract_x
_atom_site_fract_y
_atom_site_fract_z
Sr1 0.000 0.500 0.000
Be1 0.000 0.000 0.500
Bi1 0.500 0.500 0.500
Rh1 0.500 0.500 0.000
```

Results
N(E_F): 0.5022 states/eV/atom
Crystal system: tetragonal
E_form: 0.1418 eV/atom
E_tot: -3.5227 eV per atom
Size of the total moment: 0.00 Bohr magnetons per cell

Entry 2:
Material: Be2TcBiRh
Method: DFT, PBE-GGA
State: relaxed

```
data_Be2TcBiRh
_chemical_formula_sum 'Be2 Tc1 Bi1 Rh1'
_cell_length_a 4.222
_cell_length_b 4.222
_cell_length_c 5.097
_cell_angle_alpha 90.00
_cell_angle_beta 90.00
_cell_angle_gamma 90.00
_symmetry_space_group_name_H-M 'P 4/m m m'
_symmetry_Int_Tables_number 123
_symmetry_space_group_name_Hall '-P 4 2'
loop_
_atom_site_label
_atom_site_fract_x
_atom_site_fract_y
_atom_site_fract_z
Be1 0.000 0.500 0.000
Tc1 0.000 0.000 0.000
Bi1 0.000 0.000 0.500
Rh1 0.500 0.500 0.500
```

Results
N(E_F): 0.8168 states/eV/atom
Crystal system: tetragonal
E_form: 0.9649 eV/atom
E_tot: -4.8452 eV per atom
Size of the total moment: 0.00 Bohr magnetons per cell

Entry 3:
Material: Be2ZnBiRh
Method: DFT, PBE-GGA
State: relaxed

```
data_Be2ZnBiRh
_chemical_formula_sum 'Be2 Zn1 Bi1 Rh1'
_cell_length_a 4.580
_cell_length_b 4.580
_cell_length_c 5.185
_cell_angle_alpha 90.00
_cell_angle_beta 90.00
_cell_angle_gamma 90.00
_symmetry_space_group_name_H-M 'P 4/m m m'
_symmetry_Int_Tables_number 123
_symmetry_space_group_name_Hall '-P 4 2'
loop_
_atom_site_label
_atom_site_fract_x
_atom_site_fract_y
_atom_site_fract_z
Be1 0.000 0.500 0.000
Zn1 0.000 0.000 0.500
Bi1 0.500 0.500 0.000
Rh1 0.500 0.500 0.500
```

Results
N(E_F): 0.4714 states/eV/atom
Crystal system: tetragonal
E_form: 1.2806 eV/atom
E_tot: -2.7111 eV per atom
Size of the total moment: 0.00 Bohr magnetons per cell

Entry 4:
Material: BeZnBiRh2
Method: DFT, PBE-GGA
State: relaxed

```
data_BeZnBiRh2
_chemical_formula_sum 'Be1 Zn1 Bi1 Rh2'
_cell_length_a 4.341
_cell_length_b 4.341
_cell_length_c 4.281
_cell_angle_alpha 90.00
_cell_angle_beta 90.00
_cell_angle_gamma 90.00
_symmetry_space_group_name_H-M 'P 4/m m m'
_symmetry_Int_Tables_number 123
_symmetry_space_group_name_Hall '-P 4 2'
loop_
_atom_site_label
_atom_site_fract_x
_atom_site_fract_y
_atom_site_fract_z
Be1 0.000 0.000 0.000
Zn1 0.000 0.000 0.500
Bi1 0.500 0.500 0.500
Rh1 0.000 0.500 0.000
```

Results
N(E_F): 0.7371 states/eV/atom
Crystal system: tetragonal
E_form: 0.0322 eV/atom
E_tot: -4.6846 eV per atom
Size of the total moment: 0.00 Bohr magnetons per cell

Entry 5:
Material: BeBiRu2
Method: DFT, PBE-GGA
State: relaxed

```
data_BeBiRu2
_chemical_formula_sum 'Be4 Bi4 Ru8'
_cell_length_a 6.228
_cell_length_b 6.228
_cell_length_c 6.228
_cell_angle_alpha 90.00
_cell_angle_beta 90.00
_cell_angle_gamma 90.00
_symmetry_space_group_name_H-M 'F m -3 m'
_symmetry_Int_Tables_number 225
_symmetry_space_group_name_Hall '-F 4 2 3'
loop_
_atom_site_label
_atom_site_fract_x
_atom_site_fract_y
_atom_site_fract_z
Be1 0.000 0.000 0.000
Bi1 0.000 0.000 0.500
Ru1 0.250 0.250 0.250
```

Results
N(E_F): 0.3799 states/eV/atom
Crystal system: cubic
E_form: 0.2780 eV/atom
E_tot: -6.2617 eV per atom
Size of the total moment: 0.00 Bohr magnetons per cell

Entry 6:
Material: Be2BiRu2
Method: DFT, PBE-GGA
State: relaxed

```
data_Be2BiRu2
_chemical_formula_sum 'Be4 Bi2 Ru4'
_cell_length_a 6.611
_cell_length_b 6.611
_cell_length_c 3.132
_cell_angle_alpha 90.00
_cell_angle_beta 90.00
_cell_angle_gamma 90.00
_symmetry_space_group_name_H-M 'P 4/m b m'
_symmetry_Int_Tables_number 127
_symmetry_space_group_name_Hall '-P 4 2ab'
loop_
_atom_site_label
_atom_site_fract_x
_atom_site_fract_y
_atom_site_fract_z
Be1 0.114 0.386 0.000
Bi1 0.000 0.000 0.000
Ru1 0.160 0.660 0.500
```

Results
N(E_F): 0.6250 states/eV/atom
Crystal system: tetragonal
E_form: 0.1430 eV/atom
E_tot: -5.8340 eV per atom
Size of the total moment: 0.00 Bohr magnetons per cell

Entry 7:
Material: BeBi2Ru
Method: DFT, PBE-GGA
State: relaxed

```
data_BeBi2Ru
_chemical_formula_sum 'Be4 Bi8 Ru4'
_cell_length_a 5.940
_cell_length_b 5.940
_cell_length_c 12.228
_cell_angle_alpha 90.00
_cell_angle_beta 90.00
_cell_angle_gamma 90.00
_symmetry_space_group_name_H-M 'I -4 2 d'
_symmetry_Int_Tables_number 122
_symmetry_space_group_name_Hall 'I -4 2bw'
loop_
_atom_site_label
_atom_site_fract_x
_atom_site_fract_y
_atom_site_fract_z
Be1 0.000 0.000 0.000
Bi1 0.235 0.250 0.125
Ru1 0.000 0.000 0.500
```

Results
N(E_F): 0.7405 states/eV/atom
Crystal system: tetragonal
E_form: 0.7274 eV/atom
E_tot: -4.4636 eV per atom
Size of the total moment: 0.00 Bohr magnetons per cell

Entry 8:
Material: Be2BiRu2
Method: DFT, PBE-GGA
State: relaxed

```
data_Be2BiRu2
_chemical_formula_sum 'Be4 Bi2 Ru4'
_cell_length_a 6.849
_cell_length_b 6.849
_cell_length_c 3.083
_cell_angle_alpha 90.00
_cell_angle_beta 90.00
_cell_angle_gamma 90.00
_symmetry_space_group_name_H-M 'P 4/m b m'
_symmetry_Int_Tables_number 127
_symmetry_space_group_name_Hall '-P 4 2ab'
loop_
_atom_site_label
_atom_site_fract_x
_atom_site_fract_y
_atom_site_fract_z
Be1 0.122 0.378 0.000
Bi1 0.000 0.000 0.500
Ru1 0.150 0.650 0.500
```

Results
N(E_F): 0.8455 states/eV/atom
Crystal system: tetragonal
E_form: 0.2348 eV/atom
E_tot: -5.7422 eV per atom
Size of the total moment: 0.00 Bohr magnetons per cell

Entry 9:
Material: BeBiRu2
Method: DFT, PBE-GGA
State: relaxed

```
data_BeBiRu2
_chemical_formula_sum 'Be4 Bi4 Ru8'
_cell_length_a 4.163
_cell_length_b 4.163
_cell_length_c 16.531
_cell_angle_alpha 90.00
_cell_angle_beta 90.00
_cell_angle_gamma 90.00
_symmetry_space_group_name_H-M 'I -4 2 d'
_symmetry_Int_Tables_number 122
_symmetry_space_group_name_Hall 'I -4 2bw'
loop_
_atom_site_label
_atom_site_fract_x
_atom_site_fract_y
_atom_site_fract_z
Be1 0.000 0.000 0.000
Bi1 0.000 0.000 0.500
Ru1 0.159 0.250 0.125
```

Results
N(E_F): 1.0839 states/eV/atom
Crystal system: tetragonal
E_form: 0.5642 eV/atom
E_tot: -5.9756 eV per atom
Size of the total moment: 0.00 Bohr magnetons per cell

Entry 10:
Material: BeSnBi2Ru
Method: DFT, PBE-GGA
State: relaxed

```
data_BeSnBi2Ru
_chemical_formula_sum 'Be1 Sn1 Bi2 Ru1'
_cell_length_a 5.701
_cell_length_b 5.701
_cell_length_c 4.961
_cell_angle_alpha 90.00
_cell_angle_beta 90.00
_cell_angle_gamma 90.00
_symmetry_space_group_name_H-M 'P 4/m m m'
_symmetry_Int_Tables_number 123
_symmetry_space_group_name_Hall '-P 4 2'
loop_
_atom_site_label
_atom_site_fract_x
_atom_site_fract_y
_atom_site_fract_z
Be1 0.000 0.000 0.000
Sn1 0.500 0.500 0.500
Bi1 0.000 0.500 0.500
Ru1 0.500 0.500 0.000
```

Results
N(E_F): 1.2999 states/eV/atom
Crystal system: tetragonal
E_form: 1.6137 eV/atom
E_tot: -3.3397 eV per atom
Size of the total moment: 1.21 Bohr magnetons per cell

Entry 11:
Material: Be2BiS2
Method: DFT, PBE-GGA
State: relaxed

```
data_Be2BiS2
_chemical_formula_sum 'Be4 Bi2 S4'
_cell_length_a 7.580
_cell_length_b 7.580
_cell_length_c 3.157
_cell_angle_alpha 90.00
_cell_angle_beta 90.00
_cell_angle_gamma 90.00
_symmetry_space_group_name_H-M 'P 4/m b m'
_symmetry_Int_Tables_number 127
_symmetry_space_group_name_Hall '-P 4 2ab'
loop_
_atom_site_label
_atom_site_fract_x
_atom_site_fract_y
_atom_site_fract_z
Be1 0.096 0.404 0.000
Bi1 0.000 0.000 0.500
S1 0.132 0.632 0.500
```

Results
N(E_F): 0.3453 states/eV/atom
Crystal system: tetragonal
ΔE_f (raw): 0.349 eV/atom
E_tot: -3.5686 eV per atom
Size of the total moment: 0.00 Bohr magnetons per cell

Entry 12:
Material: BeBiS2
Method: DFT, PBE-GGA
State: relaxed

```
data_BeBiS2
_chemical_formula_sum 'Be3 Bi3 S6'
_cell_length_a 3.4164
_cell_length_b 3.4164
_cell_length_c 23.3562
_cell_angle_alpha 90.00
_cell_angle_beta 90.00
_cell_angle_gamma 120.00
_symmetry_space_group_name_H-M 'R -3 m'
_symmetry_Int_Tables_number 166
_symmetry_space_group_name_Hall '-R 3 2"'
loop_
_atom_site_label
_atom_site_fract_x
_atom_site_fract_y
_atom_site_fract_z
Be1 0.0000 0.0000 0.0000
Bi1 0.0000 0.0000 0.5000
S1 0.0000 0.0000 0.3834
```

Results
N(E_F): 0.7621 states/eV/atom
Crystal system: trigonal
ΔE_f (raw): -0.210 eV/atom
E_tot: -4.1752 eV per atom
Size of the total moment: 0.00 Bohr magnetons per cell

Q: Which value of E_tot does entry 4 give?
A: -4.6846 eV per atom